Computed, not measured: crystalline CaIrPt at its relaxed geometry at the PBE level of DFT.

```
CaIrPt
1.0
6.3688 0.0000 0.0000
0.0000 6.3688 0.0000
0.0000 0.0000 6.3688
Ca Ir Pt
4 4 4
direct
0.0000 0.0000 0.0000
0.0000 0.5000 0.5000
0.5000 0.0000 0.5000
0.5000 0.5000 0.0000
0.2500 0.2500 0.2500
0.2500 0.7500 0.7500
0.7500 0.2500 0.7500
0.7500 0.7500 0.2500
0.0000 0.0000 0.5000
0.0000 0.5000 0.0000
0.5000 0.0000 0.0000
0.5000 0.5000 0.5000
```

As for the density of states at the Fermi level: 19.7 states/eV per cell. The raw total energy comes out at -5.50 eV per atom. For the energy above the most stable polymorph in this dataset, the calculation gives 0.836 eV per atom.

=====

Computed, not measured: crystalline KSn2F5 at its relaxed geometry at the PBE level of DFT.

```
KSn2F5
1.0
7.4035 0.0000 0.0000
-0.0608 10.1315 0.0000
-0.0671 -0.1481 12.8556
K Sn F
6 12 30
direct
0.0000 0.0000 0.0000
0.9998 0.0147 0.6669
0.0020 0.0198 0.3330
0.5005 0.0386 0.1647
0.5059 0.0016 0.4918
0.5127 0.0166 0.8292
0.1500 0.3412 0.1648
0.1648 0.3381 0.5014
0.1901 0.3344 0.8466
0.3199 0.6906 0.6637
0.3248 0.6953 0.3276
0.3512 0.6938 0.9851
0.6633 0.3409 0.9976
0.6707 0.3424 0.3287
0.6944 0.3368 0.6559
0.8270 0.6887 0.8266
0.8324 0.6925 0.5007
0.8517 0.6934 0.1688
0.0028 0.7299 0.6622
0.0153 0.7331 0.3196
0.1017 0.3103 0.3394
0.1143 0.7281 0.1093
0.1258 0.7096 0.8812
0.1539 0.1374 0.1586
0.1786 0.1352 0.5114
0.1860 0.1312 0.8348
0.2648 0.7206 0.4889
0.3268 0.8941 0.6685
0.3319 0.8985 0.3141
0.3376 0.2993 0.9952
0.3571 0.8964 0.0009
0.4524 0.3088 0.2157
0.4555 0.3136 0.4525
0.4945 0.7318 0.8359
0.6010 0.3045 0.8304
0.6086 0.7331 0.3853
0.6155 0.7235 0.6128
0.6525 0.1348 0.6534
0.6758 0.1372 0.0010
0.6792 0.1384 0.3344
0.7771 0.7218 0.9956
0.8138 0.8954 0.1721
0.8342 0.8928 0.8258
0.8394 0.3034 0.1719
0.8526 0.8961 0.4980
0.8556 0.2975 0.5083
0.9571 0.2997 0.7166
0.9697 0.3216 0.9526
```

The value obtained for the uncorrected formation energy is -2.464 eV per atom. As for the density of states at the Fermi level: 0.0 states/eV per cell. The raw total energy comes out at -4.77 eV per atom. For the energy above the most stable polymorph in this dataset, the calculation gives 0.000 eV per atom.